(1)
CsHoAgTe2: optimized geometry, PBE. Values from VASP.

Output
Total magnetic moment, Bohr magnetons per cell: 0.0
Formation energy (no corrections), meV/atom: -830.9

Cell and atoms, written as Quantum ESPRESSO input:
```
&SYSTEM
  ibrav = 0, nat = 10, ntyp = 4
/
ATOMIC_SPECIES
Cs 132.91 Cs.upf
Ho 164.93 Ho.upf
Ag 107.87 Ag.upf
Te 127.60 Te.upf
CELL_PARAMETERS angstrom
-3.192 -3.529 0.230
5.581 -4.729 4.883
-3.393 3.545 7.307
ATOMIC_POSITIONS angstrom
Cs 0.245 0.293 7.921
Cs -1.249 -5.007 4.498
Ho -2.444 -0.879 1.942
Ho -4.140 0.894 5.595
Ag 0.000 0.000 0.000
Ag -1.696 1.772 3.653
Te -0.808 -1.941 11.165
Te -2.075 -1.202 4.921
Te 1.071 -3.511 7.498
Te -0.196 -2.773 1.255
```

***

(2)
TlCu: optimized geometry, PBE. Values from VASP.

Output
Energy of formation from the pure elements, eV/atom: 0.374
Total magnetic moment, Bohr magnetons per cell: 0.0

Cell and atoms, written as Quantum ESPRESSO input:
```
&SYSTEM
  ibrav = 0, nat = 4, ntyp = 2
/
ATOMIC_SPECIES
Cu 63.55 Cu.upf
Tl 204.38 Tl.upf
CELL_PARAMETERS angstrom
-0.511 -1.897 2.729
-1.565 -3.893 -2.999
4.434 -1.578 -0.266
ATOMIC_POSITIONS angstrom
Cu 0.197 -0.070 -0.012
Cu 2.460 -4.140 -0.345
Tl 2.239 -1.836 1.215
Tl 0.418 -2.374 -1.571
```

***

(3)
Er4TlAu3: optimized geometry, PBE. Values from VASP.

Output
Energy of formation from the pure elements, eV/atom: -0.727
Total magnetic moment, Bohr magnetons per cell: 0.0

Cell and atoms, written as Quantum ESPRESSO input:
```
&SYSTEM
  ibrav = 0, nat = 8, ntyp = 3
/
ATOMIC_SPECIES
Tl 204.38 Tl.upf
Au 196.97 Au.upf
Er 167.26 Er.upf
CELL_PARAMETERS angstrom
3.603 0.000 0.000
0.000 5.133 0.000
0.000 0.000 10.261
ATOMIC_POSITIONS angstrom
Tl 1.802 2.567 0.000
Au 1.802 0.000 2.533
Au 1.802 2.567 5.130
Au 1.802 0.000 7.728
Er 0.000 0.000 5.130
Er 0.000 2.567 7.560
Er 0.000 0.000 0.000
Er 0.000 2.567 2.701
```

***

(4)
BaPd2Cl: optimized geometry, PBE. Values from VASP.

Output
Total magnetic moment, Bohr magnetons per cell: 0.0
Formation energy (no corrections), meV/atom: -217.3
Energy above the lowest structure with this stoichiometry, eV/f.u.: 1.37

Cell and atoms, written as Quantum ESPRESSO input:
```
&SYSTEM
  ibrav = 0, nat = 4, ntyp = 3
/
ATOMIC_SPECIES
Ba 137.33 Ba.upf
Pd 106.42 Pd.upf
Cl 35.45 Cl.upf
CELL_PARAMETERS angstrom
-2.323 -4.004 -2.206
-3.985 -2.248 2.315
-4.719 0.522 -1.937
ATOMIC_POSITIONS angstrom
Ba -5.513 -2.865 -0.914
Pd -2.757 -1.432 -0.457
Pd -8.270 -4.297 -1.371
Cl 0.000 0.000 0.000
```

***

(5)
La2PmDy: optimized geometry, PBE. Values from VASP.

Output
Energy of formation from the pure elements, eV/atom: 0.015
Total magnetic moment, Bohr magnetons per cell: 0.0
Energy above the lowest structure with this stoichiometry, eV/f.u.: 0.01

Cell and atoms, written as Quantum ESPRESSO input:
```
&SYSTEM
  ibrav = 0, nat = 4, ntyp = 3
/
ATOMIC_SPECIES
Pm 145.00 Pm.upf
La 138.91 La.upf
Dy 162.50 Dy.upf
CELL_PARAMETERS angstrom
-0.798 -3.982 3.105
4.191 1.343 2.800
-2.997 2.983 3.055
ATOMIC_POSITIONS angstrom
Pm -0.399 -1.991 1.553
La -1.498 1.492 1.527
La 2.096 0.672 1.400
Dy 0.198 0.172 4.480
```

***

(6)
DyErC: optimized geometry, PBE. Values from VASP.

Output
Energy of formation from the pure elements, eV/atom: -0.302
Total magnetic moment, Bohr magnetons per cell: 0.8
Energy above the lowest structure with this stoichiometry, eV/f.u.: 0.00

Cell and atoms, written as Quantum ESPRESSO input:
```
&SYSTEM
  ibrav = 0, nat = 6, ntyp = 3
/
ATOMIC_SPECIES
Dy 162.50 Dy.upf
Er 167.26 Er.upf
C 12.01 C.upf
CELL_PARAMETERS angstrom
3.577 0.000 0.000
0.000 6.190 -0.139
-1.789 -0.893 6.120
ATOMIC_POSITIONS angstrom
Dy 0.000 3.205 4.675
Dy 1.789 2.093 1.306
Er 0.000 5.189 1.210
Er 1.789 0.108 4.771
C 0.000 3.095 -0.069
C 1.789 0.000 0.000
```

***

(7)
SiTePt: optimized geometry, PBE. Values from VASP.

Output
Total magnetic moment, Bohr magnetons per cell: 0.0
Formation energy (no corrections), meV/atom: -548.9

Cell and atoms, written as Quantum ESPRESSO input:
```
&SYSTEM
  ibrav = 0, nat = 24, ntyp = 3
/
ATOMIC_SPECIES
Si 28.09 Si.upf
Te 127.60 Te.upf
Pt 195.08 Pt.upf
CELL_PARAMETERS angstrom
6.217 0.000 0.000
0.000 6.314 0.000
0.000 0.000 12.619
ATOMIC_POSITIONS angstrom
Si 5.416 2.104 5.541
Si 2.307 1.053 7.078
Si 3.910 4.210 11.851
Si 2.307 2.104 0.769
Si 5.416 1.053 11.851
Si 3.910 5.261 5.541
Si 0.802 4.210 7.078
Si 0.802 5.261 0.769
Te 3.836 0.530 2.205
Te 5.490 5.784 8.514
Te 2.381 3.687 4.105
Te 5.490 3.687 2.205
Te 3.836 2.627 8.514
Te 0.727 0.530 4.105
Te 0.727 2.627 10.415
Te 2.381 5.784 10.415
Pt 3.267 1.975 11.184
Pt 0.158 1.182 1.435
Pt 2.951 5.132 7.745
Pt 6.059 4.338 4.875
Pt 2.951 4.338 1.435
Pt 6.059 5.132 11.184
Pt 3.267 1.182 4.875
Pt 0.158 1.975 7.745
```

***

(8)
U3Se2S: optimized geometry, PBE. Values from VASP.

Output
Total magnetic moment, Bohr magnetons per cell: 15.2
Formation energy (no corrections), meV/atom: -1112.1
Energy above the lowest structure with this stoichiometry, eV/f.u.: 0.00

Cell and atoms, written as Quantum ESPRESSO input:
```
&SYSTEM
  ibrav = 0, nat = 12, ntyp = 3
/
ATOMIC_SPECIES
U 238.03 U.upf
Se 78.96 Se.upf
S 32.06 S.upf
CELL_PARAMETERS angstrom
6.828 0.152 0.261
-1.353 6.874 -0.310
-1.353 -3.677 5.816
ATOMIC_POSITIONS angstrom
U -0.665 0.060 1.991
U 2.749 1.775 1.170
U -0.677 3.437 -0.155
U 4.787 3.288 3.775
U 2.737 -1.763 3.038
U 1.373 1.573 4.597
Se 0.354 6.065 0.247
Se 0.354 -1.118 4.417
Se 3.768 -2.717 5.520
Se 3.768 4.466 1.349
S 0.354 2.602 2.257
S 3.768 0.746 3.509
```

***

What did we get for ρ? Answer: 5.952, 10.885, 12.812, 6.717, 6.986, 8.402, 9.407, 11.114 g/cm³, in the order shown.